(1)
An optimized crystal structure of ScTlIn. Source: the Alexandria database, functional GGA-PBE.

CIF file:
```
data_ScTlIn
_cell_length_a 4.8976
_cell_length_b 4.8976
_cell_length_c 3.5321
_cell_angle_alpha 90.00
_cell_angle_beta 90.00
_cell_angle_gamma 120.00
_symmetry_space_group_name_H-M 'P 3 m 1'
_symmetry_Int_Tables_number 156
loop_
_symmetry_equiv_pos_as_xyz
'x,y,z'
'-y,x-y,z'
'-x+y,-x,z'
'-y,-x,z'
'-x+y,y,z'
'x,x-y,z'
loop_
_atom_site_label
_atom_site_type_symbol
_atom_site_fract_x
_atom_site_fract_y
_atom_site_fract_z
Sc1 Sc 0.0000 0.0000 0.0000
Tl1 Tl 0.3333 0.6667 0.3312
In1 In 0.6667 0.3333 0.6136
```

(2)
An optimized crystal structure of Sc5TlIn6. Source: the Alexandria database, functional GGA-PBE.

CIF file:
```
data_Sc5TlIn6
_cell_length_a 4.5494
_cell_length_b 8.9116
_cell_length_c 13.6583
_cell_angle_alpha 90.00
_cell_angle_beta 90.00
_cell_angle_gamma 90.00
_symmetry_space_group_name_H-M 'I m m m'
_symmetry_Int_Tables_number 71
_symmetry_space_group_name_Hall '-I 2 2'
loop_
_atom_site_label
_atom_site_type_symbol
_atom_site_fract_x
_atom_site_fract_y
_atom_site_fract_z
Sc1 Sc 0.0000 0.0000 0.0000
Sc2 Sc 0.0000 0.0000 0.3513
Sc3 Sc 0.0000 0.5000 0.3277
Tl1 Tl 0.0000 0.5000 0.0000
In1 In 0.0000 0.2398 0.1729
In2 In 0.0000 0.2696 0.5000
```

(3)
An optimized crystal structure of ScTlIn2. Source: the Alexandria database, functional GGA-PBE.

CIF file:
```
data_ScTlIn2
_cell_length_a 3.9124
_cell_length_b 3.9124
_cell_length_c 6.5257
_cell_angle_alpha 90.00
_cell_angle_beta 90.00
_cell_angle_gamma 90.00
_symmetry_space_group_name_H-M 'P 4 m m'
_symmetry_Int_Tables_number 99
loop_
_symmetry_equiv_pos_as_xyz
'x,y,z'
'-y,x,z'
'-x,-y,z'
'y,-x,z'
'-x,y,z'
'y,x,z'
'x,-y,z'
'-y,-x,z'
loop_
_atom_site_label
_atom_site_type_symbol
_atom_site_fract_x
_atom_site_fract_y
_atom_site_fract_z
Sc1 Sc 0.0000 0.0000 0.0000
Tl1 Tl 0.5000 0.5000 0.2481
In1 In 0.0000 0.0000 0.5084
In2 In 0.5000 0.5000 0.7579
```

no.,VASP energy (eV/atom),total moment (Bohr magnetons per cell),energy of formation (eV/atom)
1,-3.963,0.0,-0.1505
2,-4.564,1.5,-0.3592
3,-3.649,0.0,-0.1058